No. 1
First-principles (GGA-PBE) data for a geometry-optimized Pm3In2Pd6 structure, as listed in Alexandria via LeMat-Bulk.

The value obtained for the formation energy is -72.18 kJ/mol of atoms. Its space group is Im-3m. The crystal system is cubic.

a b c (Å): 8.466 8.466 8.466
angles (deg): 109.47 109.47 109.47
Fractional coordinates of all 22 atoms:
Pm: 0.000 0.291 0.291
Pm: 0.000 0.709 0.709
Pm: 0.291 0.000 0.291
Pm: 0.291 0.291 0.000
Pm: 0.709 0.000 0.709
Pm: 0.709 0.709 0.000
In: 0.000 0.000 0.500
In: 0.000 0.500 0.000
In: 0.500 0.000 0.000
In: 0.500 0.500 0.500
Pd: 0.000 0.343 0.657
Pd: 0.000 0.657 0.343
Pd: 0.313 0.657 0.657
Pd: 0.343 0.000 0.657
Pd: 0.343 0.343 0.687
Pd: 0.343 0.657 0.000
Pd: 0.343 0.687 0.343
Pd: 0.657 0.000 0.343
Pd: 0.657 0.313 0.657
Pd: 0.657 0.343 0.000
Pd: 0.657 0.657 0.313
Pd: 0.687 0.343 0.343

No. 2
First-principles (GGA-PBE) data for a geometry-optimized CoHgAs2 structure, as listed in Alexandria via LeMat-Bulk.

The value obtained for the formation energy is 47.79 kJ/mol of atoms. Its space group is C2/m. The crystal system is monoclinic.

a b c (Å): 5.537 7.208 4.446
angles (deg): 90.00 119.83 90.00
Fractional coordinates of all 8 atoms:
Co: 0.000 0.000 0.000
Co: 0.500 0.500 0.000
Hg: 0.000 0.500 0.000
Hg: 0.500 0.000 0.000
As: 0.250 0.250 0.500
As: 0.250 0.750 0.500
As: 0.750 0.250 0.500
As: 0.750 0.750 0.500

No. 3
First-principles (GGA-PBE) data for a geometry-optimized VSnCl structure, as listed in Alexandria via LeMat-Bulk.

Its space group is P2_1/c. The calculation puts the formation energy from raw total energies at -246 meV/atom. The crystal system is monoclinic.

a b c (Å): 8.600 6.487 5.544
angles (deg): 90.00 108.69 90.00
Fractional coordinates of all 12 atoms:
V: 0.156 0.250 0.328
V: 0.156 0.250 0.828
V: 0.844 0.750 0.172
V: 0.844 0.750 0.672
Sn: 0.140 0.647 0.070
Sn: 0.140 0.853 0.570
Sn: 0.860 0.147 0.430
Sn: 0.860 0.353 0.930
Cl: 0.350 0.092 0.174
Cl: 0.350 0.408 0.674
Cl: 0.650 0.592 0.326
Cl: 0.650 0.908 0.826

No. 4
First-principles (GGA-PBE) data for a geometry-optimized Sc2Au2I structure, as listed in Alexandria via LeMat-Bulk.

Its space group is P4/mbm. The calculation puts the formation energy from raw total energies at -523 meV/atom. The crystal system is tetragonal. As for the energy above the most stable polymorph in this dataset: 71.8 meV/atom.

a b c (Å): 8.011 8.011 3.528
angles (deg): 90.00 90.00 90.00
Fractional coordinates of all 10 atoms:
Sc: 0.159 0.341 0.000
Sc: 0.341 0.841 0.000
Sc: 0.659 0.159 0.000
Sc: 0.841 0.659 0.000
Au: 0.129 0.629 0.500
Au: 0.371 0.129 0.500
Au: 0.629 0.871 0.500
Au: 0.871 0.371 0.500
I: 0.000 0.000 0.500
I: 0.500 0.500 0.500

No. 5
First-principles (GGA-PBE) data for a geometry-optimized Sr2CaTl structure, as listed in Alexandria via LeMat-Bulk.

The value obtained for the formation energy is -22.45 kJ/mol of atoms. Its space group is I-4. The crystal system is tetragonal. As for the energy above the most stable polymorph in this dataset: 0.0 meV/atom.

a b c (Å): 10.363 10.363 10.363
angles (deg): 96.44 96.44 140.85
Fractional coordinates of all 16 atoms:
Sr: 0.018 0.620 0.671
Sr: 0.132 0.334 0.963
Sr: 0.371 0.169 0.037
Sr: 0.380 0.051 0.398
Sr: 0.653 0.982 0.602
Sr: 0.666 0.629 0.798
Sr: 0.831 0.868 0.202
Sr: 0.949 0.347 0.329
Ca: 0.095 0.044 0.610
Ca: 0.434 0.486 0.390
Ca: 0.514 0.905 0.949
Ca: 0.956 0.566 0.051
Tl: 0.224 0.460 0.651
Tl: 0.427 0.776 0.236
Tl: 0.540 0.190 0.764
Tl: 0.810 0.573 0.349

No. 6
First-principles (GGA-PBE) data for a geometry-optimized NdCoH2 structure, as listed in Alexandria via LeMat-Bulk.

Its space group is R-3m. The crystal system is trigonal. The total energy comes out at -4.861 eV/atom.

a b c (Å): 4.021 4.021 11.370
angles (deg): 90.00 90.00 120.00
Fractional coordinates of all 12 atoms:
Nd: 0.000 0.000 0.000
Nd: 0.333 0.667 0.667
Nd: 0.667 0.333 0.333
Co: 0.000 0.000 0.500
Co: 0.333 0.667 0.167
Co: 0.667 0.333 0.833
H: 0.000 0.000 0.362
H: 0.000 0.000 0.638
H: 0.333 0.667 0.029
H: 0.333 0.667 0.304
H: 0.667 0.333 0.696
H: 0.667 0.333 0.971